# 1
# PrTlCdIn

Crystalline PrTlCdIn at its relaxed geometry (PBE, the Alexandria database).

abc: 5.365 5.365 5.365
angles: 60.00 60.00 60.00
Sites, in units of the cell vectors:
Pr: 0.000 0.000 0.000
Tl: 0.250 0.250 0.250
Cd: 0.500 0.500 0.500
In: 0.750 0.750 0.750

Calculated total energy, eV per atom: -2.91
ΔE to the lowest computed polymorph, meV/atom: 152
Fermi-level density of states, states/eV/cell: 3.00
Size of the total moment, μB/atom: 0.000

***

# 2
# PrTlCdIn

Crystalline PrTlCdIn at its relaxed geometry (PBE, the Alexandria database).

abc: 4.691 4.776 4.782
angles: 90.00 90.00 90.00
Sites, in units of the cell vectors:
Pr: 0.000 0.000 0.000
Tl: 0.500 0.500 0.000
Cd: 0.000 0.500 0.500
In: 0.500 0.000 0.500

Calculated total energy, eV per atom: -3.06
ΔE to the lowest computed polymorph, meV/atom: 0
Fermi-level density of states, states/eV/cell: 2.43
Size of the total moment, μB/atom: 0.000

***

Repeat the second record exactly.
# PrTlCdIn

Crystalline PrTlCdIn at its relaxed geometry (PBE, the Alexandria database).

abc: 4.691 4.776 4.782
angles: 90.00 90.00 90.00
Sites, in units of the cell vectors:
Pr: 0.000 0.000 0.000
Tl: 0.500 0.500 0.000
Cd: 0.000 0.500 0.500
In: 0.500 0.000 0.500

Calculated total energy, eV per atom: -3.06
ΔE to the lowest computed polymorph, meV/atom: 0
Fermi-level density of states, states/eV/cell: 2.43
Size of the total moment, μB/atom: 0.000

***

Q: The highest calculated total energy belongs to which entry?
A: number 1